Material: Ac2Bi
Method: DFT, GGA-PBE
State: optimized geometry

Output
mass density	9.33	g/cm3
ΔE_f	-0.493	eV per atom
final energy	-13.6	eV per cell

a b c (Å): 6.868 6.868 6.868
angles (deg): 142.74 142.74 53.71
Fractional coordinates of all 3 atoms:
Ac (0.148, 0.148, 0.000)
Ac (0.852, 0.852, 0.000)
Bi (0.500, 0.500, 0.000)

Material: AcBi
Method: DFT, GGA-PBE
State: optimized geometry

Output
mass density	8.81	g/cm3
ΔE_f	-1.005	eV per atom
final energy	-10.0	eV per cell

a b c (Å): 4.881 4.881 4.881
angles (deg): 60.00 60.00 60.00
Fractional coordinates of all 2 atoms:
Ac (0.000, 0.000, 0.000)
Bi (0.500, 0.500, 0.500)